DFT (meta-GGA SCAN) results for a PBEsol-optimized structure of TaCSe3.

## Properties
Total magnetization, μB per formula unit: 1.31
Energy, eV/atom: -26.143
Raw formation energy, eV per atom: 1.24

a = 4.9401 Å, b = 4.9401 Å, c = 4.9401 Å
α = 90.00°, β = 90.00°, γ = 90.00°
Last column: nearest neighbours and their distance in Å.
Fractional positions:
C: 0.5000 0.5000 0.5000  12 Se 3.49
Se: 0.0000 0.5000 0.0000  2 Ta 2.47
Se: 0.0000 0.0000 0.5000  2 Ta 2.47
Se: 0.5000 0.0000 0.0000  2 Ta 2.47
Ta: 0.0000 0.0000 0.0000  6 Se 2.47


DFT (meta-GGA SCAN) results for a PBEsol-optimized structure of BaNiP2.

## Properties
Total magnetization, μB per formula unit: 0.00
Energy, eV/atom: -19.280
ΔH_f (0 K), eV per atom: -0.150

a = 4.0634 Å, b = 5.1027 Å, c = 5.1027 Å
α = 73.46°, β = 66.54°, γ = 66.54°
Last column: nearest neighbours and their distance in Å.
Fractional positions:
Ba: 0.5055 0.4945 0.4945  5 P 3.12-3.49, 4 Ni 3.20-3.29
Ni: 0.6406 0.8594 0.8594  3 P 2.13-2.22
P: 0.0141 0.9859 0.9859  2 Ni 2.22, 2 P 2.38
P: 0.3398 0.1602 0.1602  1 Ni 2.13, 2 P 2.38


DFT (meta-GGA SCAN) results for a PBEsol-optimized structure of Ta3ZnTc.

## Properties
Total magnetization, μB per formula unit: 0.99
Energy, eV/atom: -48.122
ΔH_f (0 K), eV per atom: 1.543

a = 4.5661 Å, b = 4.5661 Å, c = 4.5661 Å
α = 90.00°, β = 90.00°, γ = 90.00°
Last column: nearest neighbours and their distance in Å.
Fractional positions:
Zn: 0.0000 0.0000 0.0000  6 Ta 2.28
Tc: 0.5000 0.5000 0.5000  12 Ta 3.23
Ta: 0.0000 0.5000 0.0000  2 Zn 2.28
Ta: 0.0000 0.0000 0.5000  2 Zn 2.28
Ta: 0.5000 0.0000 0.0000  2 Zn 2.28


DFT (meta-GGA SCAN) results for a PBEsol-optimized structure of ZrMo2Ir.

## Properties
Total magnetization, μB per formula unit: 0.00
Energy, eV/atom: -42.697
ΔH_f (0 K), eV per atom: 0.195

a = 2.7816 Å, b = 2.7816 Å, c = 9.8860 Å
α = 81.91°, β = 81.91°, γ = 60.00°
Last column: nearest neighbours and their distance in Å.
Fractional positions:
Ir: 0.0000 0.0000 0.0000  6 Mo 2.73, 6 Ir 2.78
Mo: 0.2579 0.2579 0.2262  3 Ir 2.73, 6 Mo 2.78
Mo: 0.7421 0.7421 0.7738  3 Ir 2.73, 6 Mo 2.78
Zr: 0.5000 0.5000 0.5000  6 Zr 2.78


DFT (meta-GGA SCAN) results for a PBEsol-optimized structure of Sc2Mo.

## Properties
Total magnetization, μB per formula unit: 0.00
Energy, eV/atom: -21.083
ΔH_f (0 K), eV per atom: 0.037

a = 3.2791 Å, b = 5.5868 Å, c = 7.3537 Å
α = 109.21°, β = 90.00°, γ = 107.07°
Last column: nearest neighbours and their distance in Å.
Fractional positions:
Sc: 0.5129 0.0258 0.7147  4 Mo 2.88-2.97, 4 Sc 3.07-3.17
Sc: 0.4871 0.9742 0.2853  4 Mo 2.88-2.97, 4 Sc 3.07-3.17
Sc: 0.1708 0.3416 0.1175  3 Mo 2.86-3.20, 3 Sc 3.12-3.17
Sc: 0.8292 0.6584 0.8825  3 Mo 2.86-3.20, 3 Sc 3.12-3.17
Mo: 0.1847 0.3694 0.5589  2 Mo 2.49
Mo: 0.8153 0.6306 0.4411  2 Mo 2.49


DFT (meta-GGA SCAN) results for a PBEsol-optimized structure of ZnCuIr2.

## Properties
Total magnetization, μB per formula unit: 0.12
Energy, eV/atom: -42.789
ΔH_f (0 K), eV per atom: -0.061

a = 2.7010 Å, b = 4.4983 Å, c = 4.6805 Å
α = 100.11°, β = 90.00°, γ = 107.47°
Last column: nearest neighbours and their distance in Å.
Fractional positions:
Zn: 0.0000 0.0000 0.5000  6 Ir 2.62-2.64, 2 Zn 2.70, 4 Cu 2.70
Ir: 0.7495 0.4990 0.7520  3 Cu 2.62, 3 Zn 2.62-2.64, 6 Ir 2.68-2.72
Ir: 0.2505 0.5010 0.2480  3 Cu 2.62, 3 Zn 2.62-2.64, 6 Ir 2.68-2.72
Cu: 0.5000 0.0000 0.0000  6 Ir 2.62, 2 Cu 2.70, 4 Zn 2.70